(1)
# NiAs2Rh

A relaxed NiAs2Rh crystal (PBE-GGA, Alexandria via LeMat-Bulk).

Calculated values
Space-group type: No. 8
E: -5.792 eV per atom
Volume: 61 Å³/f.u.

The structure in POSCAR format:
```
NiAs2Rh
1.0
4.5200 -0.0216 0.0171
3.3496 3.0349 0.0171
0.9424 0.3608 4.4231
As Ni Rh
2 1 1
direct
0.9944 0.9944 0.0647 As
0.7570 0.7570 0.6490 As
0.4842 0.4842 0.5717 Ni
0.2644 0.2644 0.2146 Rh
```

(2)
# Y5Co2Bi

A relaxed Y5Co2Bi crystal (PBE-GGA, Alexandria via LeMat-Bulk).

Calculated values
Space-group type: No. 140
E: -6.650 eV per atom
Volume: 201 Å³/f.u.

The structure in POSCAR format:
```
Y5Co2Bi
1.0
6.9357 0.0000 -3.2740
-1.5455 6.7613 -3.2740
-0.1206 -0.1513 8.7278
Y Co Bi
10 4 2
direct
0.5266 0.7122 0.7388 Y
0.7878 0.9734 0.2612 Y
0.0000 0.0000 0.0000 Y
0.5000 0.5000 0.0000 Y
0.2122 0.0266 0.7388 Y
0.7122 0.2122 0.7388 Y
0.0266 0.5266 0.7388 Y
0.2878 0.7878 0.2612 Y
0.9734 0.4734 0.2612 Y
0.4734 0.2878 0.2612 Y
0.1357 0.3643 0.0000 Co
0.6357 0.1357 0.0000 Co
0.3643 0.8643 0.0000 Co
0.8643 0.6357 0.0000 Co
0.7500 0.7500 0.5000 Bi
0.2500 0.2500 0.5000 Bi
```

(3)
# Zr2TlSn

A relaxed Zr2TlSn crystal (PBE-GGA, Alexandria via LeMat-Bulk).

Calculated values
Space-group type: No. 123
E: -6.043 eV per atom
Volume: 92 Å³/f.u.

The structure in POSCAR format:
```
Zr2TlSn
1.0
-0.6051 -2.8288 2.4677
-0.4609 -2.4246 -2.8924
6.2353 -1.2711 0.0719
Tl Sn Zr
1 1 2
direct
0.5000 0.5000 0.5000 Tl
0.5000 0.5000 0.0000 Sn
0.0000 0.0000 0.7581 Zr
0.0000 0.0000 0.2419 Zr
```

(4)
# CuPb2

A relaxed CuPb2 crystal (PBE-GGA, Alexandria via LeMat-Bulk).

Calculated values
Space-group type: No. 194
E: -3.207 eV per atom
Volume: 99 Å³/f.u.

The structure in POSCAR format:
```
CuPb2
1.0
-3.7773 -2.7769 4.7198
6.6119 0.1828 0.7108
-0.7673 9.1683 4.7801
Pb Cu
8 4
direct
0.0000 0.0000 0.0000 Pb
0.0000 0.0000 0.5000 Pb
0.8308 0.6617 0.2500 Pb
0.1692 0.3383 0.7500 Pb
0.3383 0.1692 0.2500 Pb
0.8308 0.1692 0.2500 Pb
0.1692 0.8308 0.7500 Pb
0.6617 0.8308 0.7500 Pb
0.3333 0.6667 0.9528 Cu
0.6667 0.3333 0.4528 Cu
0.6667 0.3333 0.0472 Cu
0.3333 0.6667 0.5472 Cu
```

(5)
# AcYNi3

A relaxed AcYNi3 crystal (PBE-GGA, Alexandria via LeMat-Bulk).

Calculated values
Space-group type: No. 63
E: -5.915 eV per atom
Volume: 103 Å³/f.u.

The structure in POSCAR format:
```
AcYNi3
1.0
4.0916 0.0000 0.0000
0.0000 4.1066 0.0000
0.0000 -2.0533 12.2457
Ac Y Ni
2 2 6
direct
0.2500 0.0735 0.1471 Ac
0.7500 0.9265 0.8529 Ac
0.2500 0.7938 0.5876 Y
0.7500 0.2062 0.4124 Y
0.2500 0.3746 0.7492 Ni
0.7500 0.6254 0.2508 Ni
0.2500 0.4736 0.9472 Ni
0.7500 0.5264 0.0528 Ni
0.7500 0.3220 0.6440 Ni
0.2500 0.6780 0.3560 Ni
```

(6)
# NaSr2CaIr

A relaxed NaSr2CaIr crystal (PBE-GGA, Alexandria via LeMat-Bulk).

Calculated values
Space-group type: No. 123
E: -3.251 eV per atom
Volume: 197 Å³/f.u.

The structure in POSCAR format:
```
NaSr2CaIr
1.0
-1.3221 -2.6041 5.1565
5.3010 -2.6490 0.0214
2.1750 4.3747 2.7669
Sr Ca Ir Na
2 1 1 1
direct
0.0000 0.5000 0.0000 Sr
0.5000 0.0000 0.0000 Sr
0.0000 0.0000 0.5000 Ca
0.0000 0.0000 0.0000 Ir
0.5000 0.5000 0.5000 Na
```

(7)
# Cs2KTlAg

A relaxed Cs2KTlAg crystal (PBE-GGA, Alexandria via LeMat-Bulk).

Calculated values
Space-group type: No. 123
E: -1.527 eV per atom
Volume: 297 Å³/f.u.

The structure in POSCAR format:
```
Cs2KTlAg
1.0
-5.5915 4.3221 1.8354
-4.4388 -3.9343 -4.2582
-1.1680 -3.3376 4.3012
Cs Tl K Ag
2 1 1 1
direct
0.0000 0.5000 0.0000 Cs
0.5000 0.0000 0.0000 Cs
0.0000 0.0000 0.5000 Tl
0.5000 0.5000 0.5000 K
0.0000 0.0000 0.0000 Ag
```

(8)
# LiSe3

A relaxed LiSe3 crystal (PBE-GGA, Alexandria via LeMat-Bulk).

Calculated values
Energy relative to the elements, uncorrected: -93 meV per atom
Space-group type: No. 65
E: -3.185 eV per atom
Volume: 81 Å³/f.u.

The structure in POSCAR format:
```
LiSe3
1.0
-3.1442 3.4489 -0.4862
-2.2177 -3.2532 2.5526
1.2802 1.6139 3.1691
Li Se
1 3
direct
0.0000 0.0000 0.0000 Li
0.0000 0.5000 0.5000 Se
0.5000 0.0000 0.5000 Se
0.5000 0.5000 0.0000 Se
```

(9)
# ReNiW2

A relaxed ReNiW2 crystal (PBE-GGA, Alexandria via LeMat-Bulk).

Calculated values
Space-group type: No. 123
E: -10.978 eV per atom
Volume: 58 Å³/f.u.

The structure in POSCAR format:
```
ReNiW2
1.0
-0.8017 1.7227 3.3999
-3.7543 -0.9572 -0.4002
0.6499 -3.3158 1.8333
Ni Re W
1 1 2
direct
0.5000 0.0000 0.5000 Ni
0.0000 0.5000 0.5000 Re
0.0000 0.0000 0.0000 W
0.5000 0.5000 0.0000 W
```

(10)
# K2SmI4

A relaxed K2SmI4 crystal (PBE-GGA, Alexandria via LeMat-Bulk).

Calculated values
Energy relative to the elements, uncorrected: -1253 meV per atom
Space-group type: No. 139
E: -3.126 eV per atom
Volume: 339 Å³/f.u.

The structure in POSCAR format:
```
K2SmI4
1.0
6.1297 0.0000 0.0000
0.0000 6.1297 0.0000
-3.0649 -3.0649 9.0092
I K Sm
4 2 1
direct
0.8258 0.8258 0.6515 I
0.1742 0.1742 0.3485 I
0.0000 0.5000 0.0000 I
0.5000 0.0000 0.0000 I
0.6345 0.6345 0.2690 K
0.3655 0.3655 0.7310 K
0.0000 0.0000 0.0000 Sm
```

(11)
# YAg2Rh

A relaxed YAg2Rh crystal (PBE-GGA, Alexandria via LeMat-Bulk).

Calculated values
Space-group type: No. 225
E: -5.058 eV per atom
Volume: 77 Å³/f.u.

The structure in POSCAR format:
```
YAg2Rh
1.0
0.0000 3.3827 3.3827
3.3827 0.0000 3.3827
3.3827 3.3827 0.0000
Y Rh Ag
1 1 2
direct
0.0000 0.0000 0.0000 Y
0.5000 0.5000 0.5000 Rh
0.2500 0.2500 0.2500 Ag
0.7500 0.7500 0.7500 Ag
```

(12)
# BaCa14Sm

A relaxed BaCa14Sm crystal (PBE-GGA, Alexandria via LeMat-Bulk).

Calculated values
Space-group type: No. 38
E: -2.125 eV per atom
Volume: 677 Å³/f.u.

The structure in POSCAR format:
```
BaCa14Sm
1.0
-6.0838 -4.1572 -2.6158
7.2346 -2.9400 -0.3915
-1.4712 -5.1697 11.6379
Ba Ca Sm
1 14 1
direct
0.0401 0.9599 0.5000 Ba
0.2099 0.7901 0.0000 Ca
0.7091 0.2909 0.0000 Ca
0.0392 0.4584 0.5000 Ca
0.2095 0.2926 0.0000 Ca
0.5416 0.9608 0.5000 Ca
0.7074 0.7905 0.0000 Ca
0.3803 0.1293 0.7511 Ca
0.3803 0.1293 0.2489 Ca
0.8707 0.6197 0.7511 Ca
0.8707 0.6197 0.2489 Ca
0.3765 0.6235 0.7456 Ca
0.3765 0.6235 0.2544 Ca
0.8736 0.1264 0.7543 Ca
0.8736 0.1264 0.2457 Ca
0.5410 0.4590 0.5000 Sm
```

Repeat the fourth record exactly.
# CuPb2

A relaxed CuPb2 crystal (PBE-GGA, Alexandria via LeMat-Bulk).

Calculated values
Space-group type: No. 194
E: -3.207 eV per atom
Volume: 99 Å³/f.u.

The structure in POSCAR format:
```
CuPb2
1.0
-3.7773 -2.7769 4.7198
6.6119 0.1828 0.7108
-0.7673 9.1683 4.7801
Pb Cu
8 4
direct
0.0000 0.0000 0.0000 Pb
0.0000 0.0000 0.5000 Pb
0.8308 0.6617 0.2500 Pb
0.1692 0.3383 0.7500 Pb
0.3383 0.1692 0.2500 Pb
0.8308 0.1692 0.2500 Pb
0.1692 0.8308 0.7500 Pb
0.6617 0.8308 0.7500 Pb
0.3333 0.6667 0.9528 Cu
0.6667 0.3333 0.4528 Cu
0.6667 0.3333 0.0472 Cu
0.3333 0.6667 0.5472 Cu
```

> Among the records above, which one has the lowest E?

ReNiW2

Copy entry 4 word for word.
# CuPb2

A relaxed CuPb2 crystal (PBE-GGA, Alexandria via LeMat-Bulk).

Calculated values
Space-group type: No. 194
E: -3.207 eV per atom
Volume: 99 Å³/f.u.

The structure in POSCAR format:
```
CuPb2
1.0
-3.7773 -2.7769 4.7198
6.6119 0.1828 0.7108
-0.7673 9.1683 4.7801
Pb Cu
8 4
direct
0.0000 0.0000 0.0000 Pb
0.0000 0.0000 0.5000 Pb
0.8308 0.6617 0.2500 Pb
0.1692 0.3383 0.7500 Pb
0.3383 0.1692 0.2500 Pb
0.8308 0.1692 0.2500 Pb
0.1692 0.8308 0.7500 Pb
0.6617 0.8308 0.7500 Pb
0.3333 0.6667 0.9528 Cu
0.6667 0.3333 0.4528 Cu
0.6667 0.3333 0.0472 Cu
0.3333 0.6667 0.5472 Cu
```

> Among the records above, which one has the highest volume?

BaCa14Sm